Entry 1:
# UZnGe2Pt2

Crystalline UZnGe2Pt2 at its relaxed geometry (PBE-GGA, Alexandria).

Properties
Calculated total energy   -6.088 eV per atom
Total magnetization   2.6 μB per formula unit
Energy of formation from the pure elements   -0.44 eV per atom

```
UZnGe2Pt2
1.0
4.277 0.000 0.000
-2.139 3.704 0.000
0.000 0.000 6.793
U Zn Ge Pt
1 1 2 2
Direct
0.000 0.000 0.000
0.000 0.000 0.500
0.333 0.667 0.752
0.667 0.333 0.248
0.333 0.667 0.332
0.667 0.333 0.668
```

Entry 2:
# MnZnAg2

Crystalline MnZnAg2 at its relaxed geometry (PBE-GGA, Alexandria).

Properties
Calculated total energy   -3.908 eV per atom
Total magnetization   4.0 μB per formula unit
Energy of formation from the pure elements   0.13 eV per atom

```
MnZnAg2
1.0
4.014 0.000 0.000
0.000 4.095 0.000
0.000 0.000 7.964
Mn Zn Ag
2 2 4
Direct
0.000 0.000 0.000
0.500 0.500 0.500
0.000 0.500 0.749
0.500 0.000 0.249
0.000 0.000 0.498
0.000 0.500 0.250
0.500 0.000 0.750
0.500 0.500 0.998
```

Entry 3:
# TcSnPd2

Crystalline TcSnPd2 at its relaxed geometry (PBE-GGA, Alexandria).

Properties
Calculated total energy   -5.928 eV per atom
Total magnetization   2.1 μB per formula unit
Energy of formation from the pure elements   0.26 eV per atom

```
TcSnPd2
1.0
3.920 0.000 0.000
0.000 3.920 0.000
0.000 0.000 18.906
Tc Sn Pd
4 4 8
Direct
0.000 0.000 0.000
0.000 0.500 0.250
0.500 0.000 0.750
0.500 0.500 0.500
0.000 0.000 0.500
0.000 0.500 0.750
0.500 0.000 0.250
0.500 0.500 0.000
0.246 0.250 0.125
0.250 0.746 0.375
0.250 0.754 0.875
0.254 0.250 0.625
0.746 0.750 0.625
0.750 0.246 0.875
0.750 0.254 0.375
0.754 0.750 0.125
```

Entry 4:
# CePrCdAu

Crystalline CePrCdAu at its relaxed geometry (PBE-GGA, Alexandria).

Properties
Calculated total energy   -4.122 eV per atom
Total magnetization   1.4 μB per formula unit
Energy of formation from the pure elements   -0.40 eV per atom

```
CePrCdAu
1.0
7.578 0.000 0.000
0.000 7.578 0.000
0.000 0.000 7.578
Ce Pr Cd Au
4 4 4 4
Direct
0.000 0.000 0.000
0.000 0.500 0.500
0.500 0.000 0.500
0.500 0.500 0.000
0.000 0.000 0.500
0.000 0.500 0.000
0.500 0.000 0.000
0.500 0.500 0.500
0.250 0.250 0.250
0.250 0.750 0.750
0.750 0.250 0.750
0.750 0.750 0.250
0.250 0.250 0.750
0.250 0.750 0.250
0.750 0.250 0.250
0.750 0.750 0.750
```

Entry 5:
# SrCaAsCl

Crystalline SrCaAsCl at its relaxed geometry (PBE-GGA, Alexandria).

Properties
Formation energy from raw total energies   -6.405 eV per formula unit
Calculated total energy   -4.146 eV per atom
Total magnetization   0.0 μB per formula unit

```
SrCaAsCl
1.0
4.338 0.000 0.000
-2.169 3.757 0.000
0.000 0.000 22.270
Sr Ca As Cl
3 3 3 3
Direct
0.000 0.000 0.000
0.333 0.667 0.667
0.667 0.333 0.333
0.000 0.000 0.809
0.333 0.667 0.475
0.667 0.333 0.142
0.000 0.000 0.410
0.333 0.667 0.077
0.667 0.333 0.743
0.000 0.000 0.232
0.333 0.667 0.899
0.667 0.333 0.566
```

Entry 6:
# TaFeIrRu

Crystalline TaFeIrRu at its relaxed geometry (PBE-GGA, Alexandria).

Properties
Calculated total energy   -9.952 eV per atom
Total magnetization   1.6 μB per formula unit
Energy of formation from the pure elements   -0.34 eV per atom

```
TaFeIrRu
1.0
3.756 0.000 0.000
0.000 3.883 0.000
0.000 0.000 3.940
Ta Fe Ir Ru
1 1 1 1
Direct
0.000 0.000 0.000
0.000 0.500 0.500
0.500 0.000 0.500
0.500 0.500 0.000
```